(1)
Density functional theory data (PBE) for a geometry-optimized Sm2AsP3Pd4 structure.

Geometry as CIF:
```
data_Sm2AsP3Pd4
_chemical_formula_sum 'Sm2 As1 P3 Pd4'
_cell_length_a 4.312
_cell_length_b 4.312
_cell_length_c 9.670
_cell_angle_alpha 90.00
_cell_angle_beta 90.00
_cell_angle_gamma 90.00
_space_group_name_H-M_alt 'P -4 m 2'
_space_group_IT_number 115
loop_
_space_group_symop_operation_xyz
'x,y,z'
'y,-x,-z'
'-x,-y,z'
'-y,x,-z'
'-x,y,z'
'-y,-x,-z'
'x,-y,z'
'y,x,-z'
loop_
_atom_site_label
_atom_site_type_symbol
_atom_site_fract_x
_atom_site_fract_y
_atom_site_fract_z
Sm1 Sm 0.000 0.500 0.250
As1 As 0.000 0.000 0.500
P1 P 0.000 0.500 0.870
P2 P 0.500 0.500 0.500
Pd1 Pd 0.000 0.000 0.000
Pd2 Pd 0.000 0.500 0.626
Pd3 Pd 0.500 0.500 0.000
```

## Properties
Energy = -5.998 eV per atom

***

(2)
Density functional theory data (PBE) for a geometry-optimized La5DyHo2 structure.

Geometry as CIF:
```
data_La5DyHo2
_chemical_formula_sum 'La20 Dy4 Ho8'
_cell_length_a 8.840
_cell_length_b 21.451
_cell_length_c 6.613
_cell_angle_alpha 90.00
_cell_angle_beta 110.64
_cell_angle_gamma 90.00
_space_group_name_H-M_alt 'C 1 2/c 1'
_space_group_IT_number 15
loop_
_space_group_symop_operation_xyz
'x,y,z'
'-x,-y,-z'
'-x,y,-z+1/2'
'x,-y,z+1/2'
'x+1/2,y+1/2,z'
'-x+1/2,-y+1/2,-z'
'-x+1/2,y+1/2,-z+1/2'
'x+1/2,-y+1/2,z+1/2'
loop_
_atom_site_label
_atom_site_type_symbol
_atom_site_fract_x
_atom_site_fract_y
_atom_site_fract_z
La1 La 0.000 0.161 0.250
La2 La 0.109 0.341 0.536
La3 La 0.210 0.108 0.847
Dy1 Dy 0.000 0.499 0.750
Ho1 Ho 0.000 0.000 0.000
Ho2 Ho 0.250 0.250 0.000
```

## Properties
ΔE to the lowest computed polymorph = 175 meV per atom

***

(3)
Density functional theory data (PBE) for a geometry-optimized La2Zn12Cu3Pd structure.

Geometry as CIF:
```
data_La2Zn12Cu3Pd
_chemical_formula_sum 'La6 Zn36 Cu9 Pd3'
_cell_length_a 6.1110
_cell_length_b 6.1110
_cell_length_c 30.8487
_cell_angle_alpha 90.00
_cell_angle_beta 90.00
_cell_angle_gamma 120.00
_space_group_name_H-M_alt 'R -3 m'
_space_group_IT_number 166
_space_group_name_Hall '-R 3 2"'
loop_
_atom_site_label
_atom_site_type_symbol
_atom_site_fract_x
_atom_site_fract_y
_atom_site_fract_z
La1 La 0.0000 0.0000 0.1430
Zn1 Zn 0.0147 0.5074 0.1020
Zn2 Zn 0.0562 0.5281 0.6186
Cu1 Cu 0.0000 0.5000 0.0000
Pd1 Pd 0.0000 0.0000 0.5000
```

## Properties
Energy = -2.431 eV per atom

***

(4)
Density functional theory data (PBE) for a geometry-optimized AlHgBr2 structure.

Geometry as CIF:
```
data_AlHgBr2
_chemical_formula_sum 'Al2 Hg2 Br4'
_cell_length_a 4.225
_cell_length_b 4.225
_cell_length_c 14.066
_cell_angle_alpha 90.00
_cell_angle_beta 90.00
_cell_angle_gamma 90.00
_space_group_name_H-M_alt 'I -4 m 2'
_space_group_IT_number 119
_space_group_name_Hall 'I -4 -2'
loop_
_atom_site_label
_atom_site_type_symbol
_atom_site_fract_x
_atom_site_fract_y
_atom_site_fract_z
Al1 Al 0.000 0.000 0.000
Hg1 Hg 0.000 0.500 0.250
Br1 Br 0.000 0.000 0.500
Br2 Br 0.000 0.500 0.750
```

## Properties
Raw formation energy = -98 meV per atom
ΔE to the lowest computed polymorph = 420 meV per atom

***

Copy entry 3 word for word.
Density functional theory data (PBE) for a geometry-optimized La2Zn12Cu3Pd structure.

Geometry as CIF:
```
data_La2Zn12Cu3Pd
_chemical_formula_sum 'La6 Zn36 Cu9 Pd3'
_cell_length_a 6.1110
_cell_length_b 6.1110
_cell_length_c 30.8487
_cell_angle_alpha 90.00
_cell_angle_beta 90.00
_cell_angle_gamma 120.00
_space_group_name_H-M_alt 'R -3 m'
_space_group_IT_number 166
_space_group_name_Hall '-R 3 2"'
loop_
_atom_site_label
_atom_site_type_symbol
_atom_site_fract_x
_atom_site_fract_y
_atom_site_fract_z
La1 La 0.0000 0.0000 0.1430
Zn1 Zn 0.0147 0.5074 0.1020
Zn2 Zn 0.0562 0.5281 0.6186
Cu1 Cu 0.0000 0.5000 0.0000
Pd1 Pd 0.0000 0.0000 0.5000
```

## Properties
Energy = -2.431 eV per atom